BaMg2Os: PBEsol geometry, SCAN.

Cell and atoms, written as POSCAR:
```
BaMg2Os
1.0
-2.856 -0.901 0.967
0.755 -4.153 -1.643
3.919 0.460 6.882
Ba Mg Os
1 2 1
Direct
0.172 0.672 0.345 Ba
0.986 0.986 0.972 Mg
0.848 0.348 0.696 Mg
0.493 0.493 0.987 Os
```

Computed properties:
The value obtained for the total magnetization is 0.117 μB/atom. The calculated volume comes out at 26.5 A^3/atom.


BaMg2Os: PBEsol geometry, SCAN.

Cell and atoms, written as POSCAR:
```
BaMg2Os
1.0
3.126 0.000 0.000
0.000 5.402 0.016
0.000 -1.858 5.073
Ba Mg Os
1 2 1
Direct
0.500 0.500 0.500 Ba
0.000 0.500 0.000 Mg
0.000 0.000 0.500 Mg
0.500 0.000 0.000 Os
```

Computed properties:
The value obtained for the total magnetization is 0.168 μB/atom. The calculated volume comes out at 21.4 A^3/atom.


| no. | ρ (g/cm³) | energy of formation (eV per atom) |
| --- | --- | --- |
| 1 | 5.9 | 0.37 |
| 2 | 7.3 | 0.82 |